Crystalline Sr3PmSn12 at its relaxed geometry. Source: Alexandria, functional PBE.

abc: 4.8198 4.8198 19.4679
angles: 90.00 90.00 90.00
With the nearest neighbours (Å) after each atom.
Atoms (fractional coordinates):
Sr: 0.0000 0.0000 0.0000  12 Sn 3.41-3.43
Sr: 0.0000 0.0000 0.2530  12 Sn 3.41-3.46
Sr: 0.0000 0.0000 0.7470  12 Sn 3.41-3.46
Pm: 0.0000 0.0000 0.5000  12 Sn 3.38-3.41
Sn: 0.0000 0.5000 0.1257  8 Sn 3.41-3.44, 4 Sr 3.43-3.46
Sn: 0.0000 0.5000 0.3782  8 Sn 3.38-3.45, 2 Pm 3.38, 2 Sr 3.43
Sn: 0.0000 0.5000 0.6218  8 Sn 3.38-3.45, 2 Pm 3.38, 2 Sr 3.43
Sn: 0.0000 0.5000 0.8743  8 Sn 3.41-3.44, 4 Sr 3.43-3.46
Sn: 0.5000 0.0000 0.1257  8 Sn 3.41-3.44, 4 Sr 3.43-3.46
Sn: 0.5000 0.0000 0.3782  8 Sn 3.38-3.45, 2 Pm 3.38, 2 Sr 3.43
Sn: 0.5000 0.0000 0.6218  8 Sn 3.38-3.45, 2 Pm 3.38, 2 Sr 3.43
Sn: 0.5000 0.0000 0.8743  8 Sn 3.41-3.44, 4 Sr 3.43-3.46
Sn: 0.5000 0.5000 0.0000  4 Sr 3.41, 8 Sn 3.43
Sn: 0.5000 0.5000 0.2515  4 Sr 3.41, 8 Sn 3.44-3.45
Sn: 0.5000 0.5000 0.5000  8 Sn 3.38, 4 Pm 3.41
Sn: 0.5000 0.5000 0.7485  4 Sr 3.41, 8 Sn 3.44-3.45

Computed properties:
DFT formation energy = -0.417 eV per atom
N(E_F) = 8.16 states/eV/f.u.



Crystalline SrPm2Sn at its relaxed geometry. Source: Alexandria, functional PBE.

abc: 4.2831 4.2831 7.2994
angles: 90.00 90.00 90.00
With the nearest neighbours (Å) after each atom.
Atoms (fractional coordinates):
Sr: 0.0000 0.0000 0.0000  2 Sn 3.65, 8 Pm 3.69
Pm: 0.5000 0.5000 0.2891  1 Pm 3.08, 4 Sn 3.40
Pm: 0.5000 0.5000 0.7109  1 Pm 3.08, 4 Sn 3.40
Sn: 0.0000 0.0000 0.5000  8 Pm 3.40, 2 Sr 3.65

Computed properties:
DFT formation energy = -0.240 eV per atom
N(E_F) = 3.99 states/eV/f.u.
offset from the most stable computed form = 73 meV per atom



Crystalline SrPm2Sn3 at its relaxed geometry. Source: Alexandria, functional PBE.

abc: 6.8259 6.8259 5.0199
angles: 90.00 90.00 120.42
With the nearest neighbours (Å) after each atom.
Atoms (fractional coordinates):
Sr: 0.0000 0.0000 0.0000  6 Pm 3.92-3.95, 12 Sn 4.22-4.24
Pm: 0.3338 0.6662 0.0000  6 Sn 3.19
Pm: 0.6662 0.3338 0.0000  6 Sn 3.19
Sn: 0.0000 0.5000 0.5000  4 Pm 3.19, 4 Sn 3.39-3.41
Sn: 0.5000 0.0000 0.5000  4 Pm 3.19, 4 Sn 3.39-3.41
Sn: 0.5000 0.5000 0.5000  4 Pm 3.19, 4 Sn 3.41

Computed properties:
DFT formation energy = -0.565 eV per atom
N(E_F) = 2.65 states/eV/f.u.



Crystalline SrPm4Sn15 at its relaxed geometry. Source: Alexandria, functional PBE.

abc: 4.7438 4.7438 24.2676
angles: 90.00 90.00 90.00
With the nearest neighbours (Å) after each atom.
Atoms (fractional coordinates):
Sr: 0.0000 0.0000 0.0000  12 Sn 3.35-3.44
Pm: 0.0000 0.0000 0.2030  12 Sn 3.35-3.40
Pm: 0.0000 0.0000 0.4010  12 Sn 3.35-3.38
Pm: 0.0000 0.0000 0.5990  12 Sn 3.35-3.38
Pm: 0.0000 0.0000 0.7970  12 Sn 3.35-3.40
Sn: 0.0000 0.5000 0.1029  8 Sn 3.35-3.44, 2 Pm 3.40, 2 Sr 3.44
Sn: 0.0000 0.5000 0.3016  8 Sn 3.35-3.39, 4 Pm 3.37-3.38
Sn: 0.0000 0.5000 0.5000  8 Sn 3.35-3.38, 4 Pm 3.38
Sn: 0.0000 0.5000 0.6984  8 Sn 3.35-3.39, 4 Pm 3.37-3.38
Sn: 0.0000 0.5000 0.8971  8 Sn 3.35-3.44, 2 Pm 3.40, 2 Sr 3.44
Sn: 0.5000 0.0000 0.1029  8 Sn 3.35-3.44, 2 Pm 3.40, 2 Sr 3.44
Sn: 0.5000 0.0000 0.3016  8 Sn 3.35-3.39, 4 Pm 3.37-3.38
Sn: 0.5000 0.0000 0.5000  8 Sn 3.35-3.38, 4 Pm 3.38
Sn: 0.5000 0.0000 0.6984  8 Sn 3.35-3.39, 4 Pm 3.37-3.38
Sn: 0.5000 0.0000 0.8971  8 Sn 3.35-3.44, 2 Pm 3.40, 2 Sr 3.44
Sn: 0.5000 0.5000 0.0000  4 Sr 3.35, 8 Sn 3.44
Sn: 0.5000 0.5000 0.2016  4 Pm 3.35, 8 Sn 3.37-3.39
Sn: 0.5000 0.5000 0.4010  4 Pm 3.35, 8 Sn 3.38
Sn: 0.5000 0.5000 0.5990  4 Pm 3.35, 8 Sn 3.38
Sn: 0.5000 0.5000 0.7984  4 Pm 3.35, 8 Sn 3.37-3.39

Computed properties:
DFT formation energy = -0.468 eV per atom
N(E_F) = 10.91 states/eV/f.u.



Crystalline SrPm2Sn at its relaxed geometry. Source: Alexandria, functional PBE.

abc: 5.6384 5.6384 5.6384
angles: 60.00 60.00 60.00
With the nearest neighbours (Å) after each atom.
Atoms (fractional coordinates):
Sr: 0.0000 0.0000 0.0000  8 Pm 3.45
Pm: 0.2500 0.2500 0.2500  4 Sn 3.45, 4 Sr 3.45
Pm: 0.7500 0.7500 0.7500  4 Sn 3.45, 4 Sr 3.45
Sn: 0.5000 0.5000 0.5000  8 Pm 3.45

Computed properties:
DFT formation energy = -0.189 eV per atom
N(E_F) = 5.78 states/eV/f.u.
offset from the most stable computed form = 125 meV per atom



Crystalline SrPm5Sn8 at its relaxed geometry. Source: Alexandria, functional PBE.

abc: 8.3332 8.3332 8.3332
angles: 113.58 113.58 101.53
With the nearest neighbours (Å) after each atom.
Atoms (fractional coordinates):
Sr: 0.0000 0.0000 0.0000  4 Sn 3.36
Pm: 0.1785 0.5265 0.9287  7 Sn 3.10-3.33
Pm: 0.2500 0.7500 0.5000  4 Sn 3.19
Pm: 0.4735 0.4022 0.6520  7 Sn 3.10-3.33
Pm: 0.5978 0.2498 0.0713  7 Sn 3.10-3.33
Pm: 0.7502 0.8215 0.3480  7 Sn 3.10-3.33
Sn: 0.0080 0.2920 0.4241  2 Sn 2.96-3.09, 1 Pm 3.28
Sn: 0.1756 0.1233 0.6879  1 Sn 3.09, 5 Pm 3.10-3.24
Sn: 0.4161 0.9920 0.2839  2 Sn 2.96-3.09, 1 Pm 3.28
Sn: 0.4354 0.4877 0.3121  1 Sn 3.09, 5 Pm 3.10-3.24
Sn: 0.5123 0.8244 0.9477  1 Sn 3.09, 5 Pm 3.10-3.24
Sn: 0.7080 0.1321 0.7161  2 Sn 2.96-3.09, 1 Pm 3.28
Sn: 0.8679 0.5839 0.5759  2 Sn 2.96-3.09, 1 Pm 3.28
Sn: 0.8767 0.5646 0.0523  1 Sn 3.09, 5 Pm 3.10-3.24

Computed properties:
DFT formation energy = -0.553 eV per atom
N(E_F) = 8.23 states/eV/f.u.



Crystalline SrPm5Sn3 at its relaxed geometry. Source: Alexandria, functional PBE.

abc: 9.6312 9.6312 6.8311
angles: 90.00 90.00 120.00
With the nearest neighbours (Å) after each atom.
Atoms (fractional coordinates):
Sr: 0.0000 0.0000 0.0000  2 Sr 3.42, 6 Sn 3.66, 6 Pm 3.66
Sr: 0.0000 0.0000 0.5000  2 Sr 3.42, 6 Sn 3.66, 6 Pm 3.66
Pm: 0.0000 0.3363 0.2500  5 Sn 3.16-3.42
Pm: 0.0000 0.6637 0.7500  5 Sn 3.16-3.42
Pm: 0.3333 0.6667 0.0000  8 Pm 3.42-3.62, 6 Sn 3.62
Pm: 0.3333 0.6667 0.5000  8 Pm 3.42-3.62, 6 Sn 3.62
Pm: 0.3363 0.0000 0.2500  5 Sn 3.16-3.42
Pm: 0.3363 0.3363 0.7500  5 Sn 3.16-3.42
Pm: 0.6637 0.0000 0.7500  5 Sn 3.16-3.42
Pm: 0.6637 0.6637 0.2500  5 Sn 3.16-3.42
Pm: 0.6667 0.3333 0.0000  8 Pm 3.42-3.62, 6 Sn 3.62
Pm: 0.6667 0.3333 0.5000  8 Pm 3.42-3.62, 6 Sn 3.62
Sn: 0.0000 0.3361 0.7500  5 Pm 3.16-3.42
Sn: 0.0000 0.6639 0.2500  5 Pm 3.16-3.42
Sn: 0.3361 0.0000 0.7500  5 Pm 3.16-3.42
Sn: 0.3361 0.3361 0.2500  5 Pm 3.16-3.42
Sn: 0.6639 0.0000 0.2500  5 Pm 3.16-3.42
Sn: 0.6639 0.6639 0.7500  5 Pm 3.16-3.42

Computed properties:
DFT formation energy = -0.557 eV per atom
N(E_F) = 8.64 states/eV/f.u.



Crystalline SrPm2Sn at its relaxed geometry. Source: Alexandria, functional PBE.

abc: 12.0970 12.0970 12.0970
angles: 18.21 18.21 18.21
With the nearest neighbours (Å) after each atom.
Atoms (fractional coordinates):
Sr: 0.0000 0.0000 0.0000  2 Pm 3.63, 6 Sr 3.83
Pm: 0.1018 0.1018 0.1018  3 Sn 3.20
Pm: 0.8982 0.8982 0.8982  3 Sn 3.20
Sn: 0.5000 0.5000 0.5000  6 Pm 3.20

Computed properties:
DFT formation energy = -0.021 eV per atom
N(E_F) = 3.93 states/eV/f.u.
offset from the most stable computed form = 292 meV per atom



Crystalline SrPm5Sn4 at its relaxed geometry. Source: Alexandria, functional PBE.

abc: 8.9733 10.4935 7.9014
angles: 90.00 90.00 90.00
With the nearest neighbours (Å) after each atom.
Atoms (fractional coordinates):
Sr: 0.2500 0.2500 0.1754  4 Sn 3.18-3.28
Sr: 0.7500 0.7500 0.8246  4 Sn 3.18-3.28
Pm: 0.0102 0.0425 0.7657  4 Sn 3.12-3.48
Pm: 0.0102 0.4575 0.7657  4 Sn 3.12-3.48
Pm: 0.2500 0.7500 0.5925  4 Sn 3.14-3.23
Pm: 0.4898 0.0425 0.7657  4 Sn 3.12-3.48
Pm: 0.4898 0.4575 0.7657  4 Sn 3.12-3.48
Pm: 0.5102 0.5425 0.2343  4 Sn 3.12-3.48
Pm: 0.5102 0.9575 0.2343  4 Sn 3.12-3.48
Pm: 0.7500 0.2500 0.4075  4 Sn 3.14-3.23
Pm: 0.9898 0.5425 0.2343  4 Sn 3.12-3.48
Pm: 0.9898 0.9575 0.2343  4 Sn 3.12-3.48
Sn: 0.0851 0.7500 0.9552  1 Sn 2.96, 1 Sr 3.18, 3 Pm 3.21-3.23
Sn: 0.2500 0.0374 0.4802  5 Pm 3.12-3.15, 1 Sr 3.28
Sn: 0.2500 0.4626 0.4802  5 Pm 3.12-3.15, 1 Sr 3.28
Sn: 0.4149 0.7500 0.9552  1 Sn 2.96, 1 Sr 3.18, 3 Pm 3.21-3.23
Sn: 0.5851 0.2500 0.0448  1 Sn 2.96, 1 Sr 3.18, 3 Pm 3.21-3.23
Sn: 0.7500 0.5374 0.5198  5 Pm 3.12-3.15, 1 Sr 3.28
Sn: 0.7500 0.9626 0.5198  5 Pm 3.12-3.15, 1 Sr 3.28
Sn: 0.9149 0.2500 0.0448  1 Sn 2.96, 1 Sr 3.18, 3 Pm 3.21-3.23

Computed properties:
DFT formation energy = -0.310 eV per atom
N(E_F) = 10.57 states/eV/f.u.



Crystalline SrPmTlSn at its relaxed geometry. Source: Alexandria, functional PBE.

abc: 5.6075 5.6075 5.6075
angles: 60.00 60.00 60.00
With the nearest neighbours (Å) after each atom.
Atoms (fractional coordinates):
Sr: 0.0000 0.0000 0.0000  4 Tl 3.43, 4 Sn 3.43
Pm: 0.5000 0.5000 0.5000  4 Sn 3.43, 4 Tl 3.43
Tl: 0.2500 0.2500 0.2500  4 Pm 3.43, 4 Sr 3.43
Sn: 0.7500 0.7500 0.7500  4 Pm 3.43, 4 Sr 3.43

Computed properties:
DFT formation energy = -0.465 eV per atom
N(E_F) = 2.67 states/eV/f.u.



Among the records above, which one has the lowest DFT formation energy?
SrPm2Sn3